No. 1
Compound: Mn3VGa3
Source: the Alexandria database
Functional: PBE
Structure: relaxed

Properties
crystal system	monoclinic
spin magnetization	0.9438	μB/atom

```
Mn3VGa3
1.0
6.150 -0.008 -0.053
0.006 6.150 -0.053
-0.055 -0.054 5.333
Ga Mn V
6 6 2
direct
0.992 0.511 0.255 Ga
0.985 0.985 0.242 Ga
0.008 0.489 0.745 Ga
0.015 0.015 0.758 Ga
0.489 0.008 0.745 Ga
0.511 0.992 0.255 Ga
0.725 0.275 0.000 Mn
0.659 0.341 0.500 Mn
0.757 0.757 0.529 Mn
0.243 0.243 0.471 Mn
0.341 0.659 0.500 Mn
0.275 0.725 0.000 Mn
0.341 0.341 0.026 V
0.659 0.659 0.974 V
```

No. 2
Compound: Ho2PaMnC4
Source: the Alexandria database
Functional: PBE
Structure: relaxed

Properties
crystal system	orthorhombic
spin magnetization	0.0922	μB/atom

```
Ho2PaMnC4
1.0
3.426 0.000 0.000
-1.713 5.730 0.000
0.000 0.000 11.855
Ho C Pa Mn
4 8 2 2
direct
0.632 0.265 0.046 Ho
0.368 0.735 0.954 Ho
0.632 0.265 0.454 Ho
0.368 0.735 0.546 Ho
0.000 0.000 0.000 C
0.424 0.848 0.750 C
0.726 0.452 0.639 C
0.274 0.548 0.139 C
0.274 0.548 0.361 C
0.000 0.000 0.500 C
0.726 0.452 0.861 C
0.576 0.152 0.250 C
0.911 0.823 0.250 Pa
0.089 0.177 0.750 Pa
0.828 0.657 0.750 Mn
0.172 0.343 0.250 Mn
```

| no. | VASP energy (eV/atom) |
| --- | --- |
| 1 | -6.47 |
| 2 | -8.19 |